[1]
A plane-wave DFT calculation with GGA+U was carried out for a relaxed Sm2CoRhO6 crystal.

Output
space-group type	P2_1/c (14)
E	-146.8	eV for the cell shown
N(E_F)	0.706	states/eV/atom
spin magnetization	4.00	μB per cell

abc: 5.390 5.825 9.402
angles: 90.00 124.94 90.00
Element x y z (fractional)
Sm: 0.227 0.074 0.250
Sm: 0.227 0.426 0.750
Sm: 0.773 0.574 0.250
Sm: 0.773 0.926 0.750
Co: 0.500 0.000 0.000
Co: 0.500 0.500 0.500
Rh: 0.000 0.000 0.500
Rh: 0.000 0.500 0.000
O: 0.127 0.201 0.943
O: 0.127 0.299 0.443
O: 0.257 0.691 0.947
O: 0.257 0.809 0.447
O: 0.361 0.037 0.750
O: 0.361 0.463 0.250
O: 0.639 0.537 0.750
O: 0.639 0.963 0.250
O: 0.743 0.191 0.553
O: 0.743 0.309 0.053
O: 0.873 0.701 0.557
O: 0.873 0.799 0.057

---

[2]
A plane-wave DFT calculation with GGA+U was carried out for a relaxed TcNiAgF6 crystal.

Output
space-group type	P-31c (163)
E	-85.0	eV for the cell shown
N(E_F)	0.418	states/eV/atom
spin magnetization	8.00	μB per cell

abc: 5.482 5.482 10.240
angles: 90.00 90.00 120.00
Element x y z (fractional)
Tc: 0.333 0.667 0.250
Tc: 0.667 0.333 0.750
Ni: 0.333 0.667 0.750
Ni: 0.667 0.333 0.250
Ag: 0.000 0.000 0.000
Ag: 0.000 0.000 0.500
F: 0.002 0.365 0.646
F: 0.002 0.637 0.854
F: 0.363 0.365 0.854
F: 0.363 0.998 0.646
F: 0.365 0.002 0.146
F: 0.365 0.363 0.354
F: 0.635 0.637 0.646
F: 0.635 0.998 0.854
F: 0.637 0.002 0.354
F: 0.637 0.635 0.146
F: 0.998 0.363 0.146
F: 0.998 0.635 0.354